1.
## SrCa3 (GGA-PBEsol)

Data for SrCa3 after structural relaxation.

Calculated values
As for the final energy: -2.04 eV per atom. The formation energy comes out at 1 kJ per mole of atoms. Its total magnetization is 0.00 μB/atom. The volume comes out at 43.151 A^3/atom. The calculation puts the polymorph energy (0 for the lowest one) at 0.018 eV per formula unit.

Lattice parameters (Å, degrees): 6.800 7.850 12.935 90.00 90.00 90.00
Atoms (fractional coordinates):
Ca (0.583, 0.627, 0.750)
Ca (0.417, 0.373, 0.250)
Ca (0.244, 0.126, 0.498)
Ca (0.256, 0.626, 0.998)
Ca (0.083, 0.873, 0.750)
Ca (0.256, 0.626, 0.502)
Ca (0.744, 0.374, 0.498)
Ca (0.244, 0.126, 0.002)
Ca (0.756, 0.874, 0.998)
Ca (0.917, 0.127, 0.250)
Ca (0.756, 0.874, 0.502)
Ca (0.744, 0.374, 0.002)
Sr (0.080, 0.379, 0.750)
Sr (0.580, 0.121, 0.750)
Sr (0.420, 0.879, 0.250)
Sr (0.920, 0.621, 0.250)


2.
## FeSb3 (GGA-PBEsol)

Data for FeSb3 after structural relaxation.

Calculated values
As for the final energy: -5.72 eV per atom. The formation energy (no corrections) is -62 meV per atom. Its total magnetization is 0.24 μB/atom. The volume comes out at 23.080 A^3/atom. The calculation puts the polymorph energy (0 for the lowest one) at 0.000 eV per formula unit.

Lattice parameters (Å, degrees): 7.828 7.828 7.828 109.47 109.47 109.47
Site moments in Bohr magnetons follow the coordinates.
Atoms (fractional coordinates):
Sb (0.830, 0.670, 0.160)  0.01
Sb (0.170, 0.330, 0.840)  0.01
Sb (0.840, 0.509, 0.670)  0.01
Sb (0.330, 0.840, 0.170)  0.01
Sb (0.330, 0.160, 0.491)  0.01
Sb (0.491, 0.330, 0.160)  0.01
Sb (0.160, 0.491, 0.330)  0.01
Sb (0.670, 0.160, 0.830)  0.01
Sb (0.840, 0.170, 0.330)  0.01
Sb (0.509, 0.670, 0.840)  0.01
Sb (0.670, 0.840, 0.509)  0.01
Sb (0.160, 0.830, 0.670)  0.01
Fe (0.500, 0.500, 0.500)  0.89
Fe (0.000, 0.500, 0.000)  0.89
Fe (0.000, 0.000, 0.500)  0.89
Fe (0.500, 0.000, 0.000)  0.89


3.
## MoP3 (GGA-PBEsol)

Data for MoP3 after structural relaxation.

Calculated values
As for the final energy: -7.07 eV per atom. The formation energy comes out at 21 kJ per mole of atoms. Its total magnetization is 0.00 μB/atom. The volume comes out at 13.325 A^3/atom. The calculation puts the polymorph energy (0 for the lowest one) at 0.610 eV per formula unit.

Lattice parameters (Å, degrees): 2.999 4.305 4.305 106.47 90.00 90.00
Atoms (fractional coordinates):
P (0.000, 0.500, 0.500)
P (0.500, 0.000, 0.500)
P (0.500, 0.500, 0.000)
Mo (0.000, 0.000, 0.000)


4.
## TcOs2Br (GGA-PBEsol)

Data for TcOs2Br after structural relaxation.

Calculated values
As for the final energy: -8.77 eV per atom. The formation energy (no corrections) is 618 meV per atom. Its total magnetization is 0.00 μB/atom. The volume comes out at 14.907 A^3/atom. The calculation puts the polymorph energy (0 for the lowest one) at 0.000 eV per formula unit.

Lattice parameters (Å, degrees): 2.821 2.821 8.804 80.78 80.78 60.00
Atoms (fractional coordinates):
Os (0.751, 0.751, 0.747)
Os (0.004, 0.004, 0.989)
Tc (0.500, 0.500, 0.501)
Br (0.246, 0.246, 0.263)